# 1
Computed, not measured: Ag2B8O13 after structural relaxation at the PBEsol level of DFT.

```
Ag2B8O13
1.0
6.597 0.000 0.000
0.000 8.792 0.000
-0.354 0.000 17.533
Ag B O
8 32 52
direct
0.028 0.046 0.082
0.028 0.454 0.582
0.431 0.018 0.617
0.431 0.482 0.117
0.569 0.518 0.883
0.569 0.982 0.383
0.972 0.546 0.418
0.972 0.954 0.918
0.021 0.196 0.408
0.021 0.304 0.908
0.028 0.505 0.192
0.028 0.995 0.692
0.036 0.237 0.771
0.036 0.263 0.271
0.276 0.734 0.503
0.276 0.766 0.003
0.363 0.221 0.480
0.363 0.279 0.980
0.474 0.569 0.689
0.474 0.931 0.189
0.479 0.690 0.269
0.479 0.810 0.769
0.488 0.132 0.092
0.488 0.368 0.592
0.512 0.632 0.408
0.512 0.868 0.908
0.521 0.190 0.231
0.521 0.310 0.731
0.526 0.069 0.811
0.526 0.431 0.311
0.637 0.721 0.020
0.637 0.779 0.520
0.724 0.234 0.997
0.724 0.266 0.497
0.964 0.737 0.729
0.964 0.763 0.229
0.972 0.005 0.308
0.972 0.495 0.808
0.979 0.696 0.092
0.979 0.804 0.592
0.025 0.188 0.844
0.025 0.312 0.344
0.034 0.107 0.253
0.034 0.393 0.753
0.049 0.146 0.708
0.049 0.354 0.208
0.071 0.554 0.120
0.071 0.946 0.620
0.086 0.735 0.530
0.086 0.765 0.030
0.230 0.161 0.430
0.230 0.339 0.930
0.313 0.637 0.444
0.313 0.863 0.944
0.325 0.181 0.039
0.325 0.319 0.539
0.433 0.674 0.030
0.433 0.826 0.530
0.443 0.522 0.616
0.443 0.978 0.116
0.454 0.721 0.706
0.454 0.779 0.206
0.473 0.534 0.254
0.473 0.966 0.754
0.494 0.240 0.158
0.494 0.260 0.658
0.506 0.740 0.342
0.506 0.760 0.842
0.527 0.034 0.246
0.527 0.466 0.746
0.546 0.221 0.794
0.546 0.279 0.294
0.557 0.022 0.884
0.557 0.478 0.384
0.567 0.174 0.470
0.567 0.326 0.970
0.675 0.681 0.461
0.675 0.819 0.961
0.687 0.137 0.056
0.687 0.363 0.556
0.770 0.661 0.070
0.770 0.839 0.570
0.914 0.235 0.970
0.914 0.265 0.470
0.929 0.054 0.380
0.929 0.446 0.880
0.951 0.646 0.792
0.951 0.854 0.292
0.966 0.607 0.247
0.966 0.893 0.747
0.975 0.688 0.656
0.975 0.812 0.156
```

Output
Raw total energy (eV/cell): -717.9
Symmetry: No. 14
Formation energy (no corrections) (eV per formula unit): -48.469


# 2
Computed, not measured: AgB3O5 after structural relaxation at the PBEsol level of DFT.

```
AgB3O5
1.0
10.375 0.000 0.000
0.000 8.296 0.000
0.000 0.000 3.852
Ag B O
4 12 20
direct
0.078 0.087 0.000
0.422 0.587 0.500
0.578 0.413 0.000
0.922 0.913 0.500
0.029 0.398 0.436
0.162 0.747 0.170
0.186 0.461 0.976
0.314 0.961 0.476
0.338 0.247 0.670
0.471 0.898 0.936
0.529 0.102 0.436
0.662 0.753 0.170
0.686 0.039 0.976
0.814 0.539 0.476
0.838 0.253 0.670
0.971 0.602 0.936
0.033 0.746 0.079
0.073 0.509 0.733
0.133 0.351 0.225
0.205 0.893 0.293
0.234 0.612 0.133
0.266 0.112 0.633
0.295 0.393 0.793
0.367 0.851 0.725
0.427 0.009 0.233
0.467 0.246 0.579
0.533 0.754 0.079
0.573 0.991 0.733
0.633 0.149 0.225
0.705 0.607 0.293
0.734 0.888 0.133
0.766 0.388 0.633
0.795 0.107 0.793
0.867 0.649 0.725
0.927 0.491 0.233
0.967 0.254 0.579
```

Output
Raw total energy (eV/cell): -276.0
Symmetry: No. 33
Formation energy (no corrections) (eV per formula unit): -18.391


# 3
Computed, not measured: AgBO3 after structural relaxation at the PBEsol level of DFT.

```
AgBO3
1.0
2.397 1.384 5.165
-2.397 1.384 5.165
0.000 -2.767 5.165
Ag B O
2 2 6
direct
0.000 0.000 0.000
0.500 0.500 0.500
0.250 0.250 0.250
0.750 0.750 0.750
0.038 0.750 0.462
0.250 0.538 0.962
0.462 0.038 0.750
0.538 0.962 0.250
0.750 0.462 0.038
0.962 0.250 0.538
```

Output
Raw total energy (eV/cell): -63.2
Symmetry: No. 167
Formation energy (no corrections) (eV per formula unit): -5.541


# 4
Computed, not measured: AgBP2O after structural relaxation at the PBEsol level of DFT.

```
AgBP2O
1.0
4.754 0.000 0.000
0.000 4.754 0.000
0.000 0.000 3.784
Ag B P O
1 1 2 1
direct
0.000 0.000 0.000
0.500 0.500 0.500
0.000 0.500 0.000
0.500 0.000 0.000
0.000 0.000 0.500
```

Output
Raw total energy (eV/cell): -18.5
Symmetry: No. 123
Formation energy (no corrections) (eV per formula unit): 8.678


# 5
Computed, not measured: AgBOs2Rh after structural relaxation at the PBEsol level of DFT.

```
AgBOs2Rh
1.0
4.713 0.000 0.000
0.000 4.713 0.000
0.000 0.000 4.691
Ag B Os Rh
1 1 2 1
direct
0.000 0.000 0.000
0.500 0.500 0.500
0.000 0.500 0.000
0.500 0.000 0.000
0.000 0.000 0.500
```

Output
ΔH_f (0 K) (eV/f.u.): 18.46
Raw total energy (eV/cell): -24.4
Symmetry: No. 123


# 6
Computed, not measured: Ag2SnBPd after structural relaxation at the PBEsol level of DFT.

```
Ag2SnBPd
1.0
5.050 0.000 0.000
0.000 5.050 0.000
0.000 0.000 4.911
Ag Sn B Pd
2 1 1 1
direct
0.000 0.500 0.000
0.500 0.000 0.000
0.000 0.000 0.000
0.500 0.500 0.500
0.000 0.000 0.500
```

Output
ΔH_f (0 K) (eV/f.u.): 7.87
Raw total energy (eV/cell): -16.0
Symmetry: No. 123